*A*
TaTePt3: relaxed, PBE.

Properties
N(E_F) = 3.821 states/eV/cell

Cell lengths 4.8749, 4.8749, 4.8749 Å; angles 90.00, 90.00, 90.00 degrees
Last column: nearest neighbours and their distance in Å.
Fractional coordinates of all 5 atoms:
Ta 0.5000 0.5000 0.5000  12 Pt 3.45
Te 0.0000 0.0000 0.0000  6 Pt 2.44
Pt 0.5000 0.0000 0.0000  2 Te 2.44
Pt 0.0000 0.0000 0.5000  2 Te 2.44
Pt 0.0000 0.5000 0.0000  2 Te 2.44

*B*
TaTePt3: relaxed, PBE.

Properties
N(E_F) = 4.350 states/eV/cell

Cell lengths 4.9172, 4.9172, 4.9172 Å; angles 90.00, 90.00, 90.00 degrees
Last column: nearest neighbours and their distance in Å.
Fractional coordinates of all 5 atoms:
Te 0.5000 0.5000 0.5000  12 Pt 3.48
Pt 0.5000 0.0000 0.0000  2 Ta 2.46
Pt 0.0000 0.0000 0.5000  2 Ta 2.46
Pt 0.0000 0.5000 0.0000  2 Ta 2.46
Ta 0.0000 0.0000 0.0000  6 Pt 2.46

The structure with the greatest stability is *B*.